# 1
The following is a DFT calculation (PBE) of a relaxed structure of Mg2VRh6.

a b c (Å): 13.5992 7.4431 2.7882
angles (deg): 90.00 101.52 90.00
Closest atoms and distances in Å follow each position.
Space group C2/m (No. 12)
Asymmetric unit:
1 Mg 0.1583 0.0000 0.1414 [4 per cell]  8 Rh 2.67-2.75, 2 Mg 2.79
2 V 0.0000 0.5000 0.5000 [2 per cell]  8 Rh 2.50-2.61, 2 V 2.79
3 Rh 0.0000 0.2208 0.0000 [4 per cell]  2 V 2.50, 2 Mg 2.67, 6 Rh 2.72-2.79
4 Rh 0.1671 0.3159 0.6626 [8 per cell]  1 V 2.61, 3 Mg 2.70-2.75, 7 Rh 2.72-2.81

**Energy of formation**: -0.12 eV/atom
**DOS(E_F)**: 1.224 states/eV per atom



# 2
The following is a DFT calculation (PBE) of a relaxed structure of Mg2VRh2.

a b c (Å): 6.3554 6.3554 4.1830
angles (deg): 90.00 90.00 90.00
Closest atoms and distances in Å follow each position.
Space group P4/mbm (No. 127)
Asymmetric unit:
1 Mg 0.1665 0.3335 0.0000 [4 per cell]  6 Rh 2.70-2.88, 1 Mg 2.99
2 V 0.0000 0.0000 0.5000 [2 per cell]  4 Rh 2.44
3 Rh 0.1438 0.6438 0.5000 [4 per cell]  2 V 2.44, 1 Rh 2.58, 2 Mg 2.70

**Energy of formation**: -0.23 eV/atom
**DOS(E_F)**: 0.838 states/eV per atom



# 3
The following is a DFT calculation (PBE) of a relaxed structure of Mg2VRh.

a b c (Å): 7.4189 7.4189 5.3563
angles (deg): 90.00 90.00 90.00
Closest atoms and distances in Å follow each position.
Space group I-42d (No. 122)
Asymmetric unit:
1 Mg 0.2175 0.7500 0.1250 [8 per cell]  2 Rh 2.55, 2 Mg 2.72
2 V 0.0000 0.0000 0.5000 [4 per cell]  2 Rh 2.68, 4 Mg 2.88
3 Rh 0.0000 0.0000 0.0000 [4 per cell]  4 Mg 2.55, 2 V 2.68

**Energy of formation**: 0.40 eV/atom
**DOS(E_F)**: 1.113 states/eV per atom



# 4
The following is a DFT calculation (PBE) of a relaxed structure of MgV2Rh.

a b c (Å): 7.1736 7.1736 5.1181
angles (deg): 90.00 90.00 90.00
Closest atoms and distances in Å follow each position.
Space group I-42d (No. 122)
Asymmetric unit:
1 Mg 0.0000 0.0000 0.0000 [4 per cell]  2 Rh 2.56, 4 V 2.85
2 V 0.2046 0.7500 0.6250 [8 per cell]  2 Rh 2.40, 2 V 2.64
3 Rh 0.0000 0.0000 0.5000 [4 per cell]  4 V 2.40, 2 Mg 2.56

**Energy of formation**: 0.35 eV/atom
**DOS(E_F)**: 1.273 states/eV per atom



# 5
The following is a DFT calculation (PBE) of a relaxed structure of MgVRh3.

a b c (Å): 4.4986 4.4986 4.4986
angles (deg): 90.00 90.00 90.00
Closest atoms and distances in Å follow each position.
Space group Pm-3m (No. 221)
Asymmetric unit:
1 Mg 0.0000 0.0000 0.0000 [1 per cell]  12 Rh 3.18
2 V 0.5000 0.5000 0.5000 [1 per cell]  6 Rh 2.25
3 Rh 0.0000 0.5000 0.5000 [3 per cell]  2 V 2.25

**Energy of formation**: 0.30 eV/atom
**DOS(E_F)**: 0.270 states/eV per atom



# 6
The following is a DFT calculation (PBE) of a relaxed structure of MgVRh4.

a b c (Å): 2.7970 4.4692 7.3229
angles (deg): 90.00 90.08 90.00
Closest atoms and distances in Å follow each position.
Space group Pm (No. 6)
Asymmetric unit:
1 Mg 0.0000 0.0000 0.0000 [1 per cell]  8 Rh 2.71-2.73, 2 Mg 2.80
2 V 0.4808 0.5000 0.4993 [1 per cell]  8 Rh 2.49-2.61
3 Rh 0.4974 0.0000 0.6827 [1 per cell]  2 V 2.61, 7 Rh 2.67-2.80, 2 Mg 2.71
4 Rh 0.4984 0.0000 0.3176 [1 per cell]  2 V 2.60, 7 Rh 2.67-2.80, 2 Mg 2.71-2.72
5 Rh 0.9950 0.5000 0.2138 [1 per cell]  2 V 2.49-2.54, 2 Mg 2.73, 4 Rh 2.74-2.75
6 Rh 0.9954 0.5000 0.7850 [1 per cell]  2 V 2.50-2.54, 2 Mg 2.73, 4 Rh 2.74

**Energy of formation**: -0.13 eV/atom
**DOS(E_F)**: 1.153 states/eV per atom



# 7
The following is a DFT calculation (PBE) of a relaxed structure of Mg3VRh.

a b c (Å): 4.9228 4.9228 4.9228
angles (deg): 90.00 90.00 90.00
Closest atoms and distances in Å follow each position.
Space group Pm-3m (No. 221)
Asymmetric unit:
1 Mg 0.0000 0.0000 0.5000 [3 per cell]  2 V 2.46
2 V 0.0000 0.0000 0.0000 [1 per cell]  6 Mg 2.46
3 Rh 0.5000 0.5000 0.5000 [1 per cell]  12 Mg 3.48

**Energy of formation**: 1.26 eV/atom
**DOS(E_F)**: 0.898 states/eV per atom



# 8
The following is a DFT calculation (PBE) of a relaxed structure of Mg3VRh.

a b c (Å): 4.8613 4.8613 4.8613
angles (deg): 90.00 90.00 90.00
Closest atoms and distances in Å follow each position.
Space group Pm-3m (No. 221)
Asymmetric unit:
1 Mg 0.0000 0.0000 0.5000 [3 per cell]  2 Rh 2.43
2 V 0.5000 0.5000 0.5000 [1 per cell]  12 Mg 3.44
3 Rh 0.0000 0.0000 0.0000 [1 per cell]  6 Mg 2.43

**Energy of formation**: 0.43 eV/atom
**DOS(E_F)**: 1.309 states/eV per atom



# 9
The following is a DFT calculation (PBE) of a relaxed structure of Mg3V5Rh12.

a b c (Å): 14.1139 14.1139 14.1139
angles (deg): 90.00 90.00 90.00
Closest atoms and distances in Å follow each position.
Space group Ia-3d (No. 230)
Asymmetric unit:
1 Mg 0.0000 0.2500 0.1250 [24 per cell]  4 Rh 2.49
2 V 0.0000 0.0000 0.0000 [16 per cell]  6 Rh 2.39
3 V 0.0000 0.2500 0.3750 [24 per cell]  4 Rh 2.27
4 Rh 0.0283 0.0771 0.6477 [96 per cell]  2 V 2.27-2.39, 1 Mg 2.49

**Energy of formation**: 0.31 eV/atom
**DOS(E_F)**: 0.705 states/eV per atom



# 10
The following is a DFT calculation (PBE) of a relaxed structure of Mg3VRh4.

a b c (Å): 3.0907 3.0907 12.4008
angles (deg): 90.00 90.00 90.00
Closest atoms and distances in Å follow each position.
Space group P4/mmm (No. 123)
Asymmetric unit:
1 Mg 0.0000 0.0000 0.0000 [1 per cell]  8 Rh 2.69
2 Mg 0.0000 0.0000 0.2473 [2 per cell]  8 Rh 2.65-2.78
3 V 0.0000 0.0000 0.5000 [1 per cell]  8 Rh 2.61
4 Rh 0.5000 0.5000 0.1267 [2 per cell]  8 Mg 2.65-2.69
5 Rh 0.5000 0.5000 0.3854 [2 per cell]  4 V 2.61, 4 Mg 2.78, 1 Rh 2.84

**Energy of formation**: -0.49 eV/atom
**DOS(E_F)**: 0.680 states/eV per atom



# 11
The following is a DFT calculation (PBE) of a relaxed structure of MgV4Rh5.

a b c (Å): 2.7972 2.7972 17.9949
angles (deg): 90.00 90.00 90.00
Closest atoms and distances in Å follow each position.
Space group P4/mmm (No. 123)
Asymmetric unit:
1 Mg 0.0000 0.0000 0.0000 [1 per cell]  8 Rh 2.78, 4 Mg 2.80
2 V 0.0000 0.0000 0.2003 [2 per cell]  8 Rh 2.57-2.68, 4 V 2.80
3 V 0.0000 0.0000 0.4003 [2 per cell]  8 Rh 2.67, 4 V 2.80
4 Rh 0.5000 0.5000 0.1089 [2 per cell]  4 V 2.57, 4 Mg 2.78, 4 Rh 2.80
5 Rh 0.5000 0.5000 0.3008 [2 per cell]  8 V 2.67-2.68, 4 Rh 2.80
6 Rh 0.5000 0.5000 0.5000 [1 per cell]  8 V 2.67, 4 Rh 2.80

**Energy of formation**: -0.39 eV/atom
**DOS(E_F)**: 0.989 states/eV per atom



# 12
The following is a DFT calculation (PBE) of a relaxed structure of YMgVRh2.

a b c (Å): 4.8972 4.8972 4.7878
angles (deg): 90.00 90.00 90.00
Closest atoms and distances in Å follow each position.
Space group P4/mmm (No. 123)
Asymmetric unit:
1 Y 0.0000 0.0000 0.0000 [1 per cell]  2 V 2.39, 4 Rh 2.45
2 Mg 0.5000 0.5000 0.5000 [1 per cell]  8 Rh 3.42, 4 V 3.46
3 V 0.0000 0.0000 0.5000 [1 per cell]  2 Y 2.39
4 Rh 0.0000 0.5000 0.0000 [2 per cell]  2 Y 2.45

**Energy of formation**: 1.24 eV/atom
**DOS(E_F)**: 1.964 states/eV per atom



# 13
The following is a DFT calculation (PBE) of a relaxed structure of MgVZnRh.

a b c (Å): 6.1624 6.1624 6.1624
angles (deg): 90.00 90.00 90.00
Closest atoms and distances in Å follow each position.
Space group F-43m (No. 216)
Asymmetric unit:
1 Mg 0.0000 0.0000 0.0000 [4 per cell]  4 Zn 2.67, 4 Rh 2.67
2 V 0.0000 0.0000 0.5000 [4 per cell]  4 Rh 2.67, 4 Zn 2.67
3 Zn 0.2500 0.2500 0.2500 [4 per cell]  4 V 2.67, 4 Mg 2.67
4 Rh 0.2500 0.2500 0.7500 [4 per cell]  4 Mg 2.67, 4 V 2.67

**Energy of formation**: -0.21 eV/atom
**DOS(E_F)**: 0.323 states/eV per atom



# 14
The following is a DFT calculation (PBE) of a relaxed structure of Mg2RhW2.

a b c (Å): 3.5350 3.5350 15.3644
angles (deg): 90.00 90.00 90.00
Closest atoms and distances in Å follow each position.
Space group I4/mmm (No. 139)
Asymmetric unit:
1 Mg 0.0000 0.0000 0.0899 [4 per cell]  1 Mg 2.76, 4 Rh 2.86, 4 W 3.03
2 Rh 0.0000 0.0000 0.5000 [2 per cell]  8 Mg 2.86
3 W 0.0000 0.5000 0.2500 [4 per cell]  4 W 2.50

**Energy of formation**: 0.69 eV/atom
**DOS(E_F)**: 0.954 states/eV per atom



# 15
The following is a DFT calculation (PBE) of a relaxed structure of Mg2RhW.

a b c (Å): 2.9038 4.7792 9.4889
angles (deg): 90.00 90.00 90.00
Closest atoms and distances in Å follow each position.
Space group Immm (No. 71)
Asymmetric unit:
1 Mg 0.0000 0.0000 0.2321 [4 per cell]  2 Rh 2.64, 6 Mg 2.82-2.90, 2 W 2.93
2 Rh 0.0000 0.5000 0.5000 [2 per cell]  4 Mg 2.64, 4 W 2.80, 2 Rh 2.90
3 W 0.0000 0.5000 0.0000 [2 per cell]  4 Rh 2.80, 2 W 2.90, 4 Mg 2.93

**Energy of formation**: 0.17 eV/atom
**DOS(E_F)**: 0.951 states/eV per atom



# 16
The following is a DFT calculation (PBE) of a relaxed structure of Mg2RhW.

a b c (Å): 2.9000 2.9000 27.1859
angles (deg): 90.00 90.00 120.00
Closest atoms and distances in Å follow each position.
Space group R-3m (No. 166, hexagonal axes)
Asymmetric unit:
1 Mg 0.0000 0.0000 0.2444 [6 per cell]  3 Rh 2.70, 6 Mg 2.90, 3 W 2.94
2 Rh 0.0000 0.0000 0.5000 [3 per cell]  6 Mg 2.70, 6 Rh 2.90
3 W 0.0000 0.0000 0.0000 [3 per cell]  6 W 2.90, 6 Mg 2.94

**Energy of formation**: 0.15 eV/atom
**DOS(E_F)**: 1.220 states/eV per atom



# 17
The following is a DFT calculation (PBE) of a relaxed structure of Mg2RhW.

a b c (Å): 3.8558 3.8558 8.8724
angles (deg): 90.00 90.00 90.00
Closest atoms and distances in Å follow each position.
Space group I4/mmm (No. 139)
Asymmetric unit:
1 Mg 0.0000 0.5000 0.2500 [4 per cell]  4 Mg 2.73, 4 Rh 2.94, 4 W 2.94
2 Rh 0.0000 0.0000 0.0000 [2 per cell]  4 W 2.73, 8 Mg 2.94
3 W 0.0000 0.0000 0.5000 [2 per cell]  4 Rh 2.73, 8 Mg 2.94

**Energy of formation**: 0.30 eV/atom
**DOS(E_F)**: 0.988 states/eV per atom



# 18
The following is a DFT calculation (PBE) of a relaxed structure of MgRhW2.

a b c (Å): 3.0713 4.7440 8.8928
angles (deg): 90.00 90.00 90.00
Closest atoms and distances in Å follow each position.
Space group Imm2 (No. 44)
Asymmetric unit:
1 Mg 0.0000 0.0000 0.0000 [2 per cell]  2 Rh 2.71, 6 W 2.83-2.90
2 Rh 0.0000 0.5000 0.2493 [2 per cell]  6 W 2.67-2.84, 2 Mg 2.71
3 W 0.0000 0.0000 0.5041 [2 per cell]  2 W 2.54, 2 Rh 2.67, 4 Mg 2.83
4 W 0.0000 0.5000 0.7772 [2 per cell]  2 W 2.54, 4 Rh 2.84

**Energy of formation**: 0.26 eV/atom
**DOS(E_F)**: 0.963 states/eV per atom



# 19
The following is a DFT calculation (PBE) of a relaxed structure of MgRh2W.

a b c (Å): 6.2492 6.2492 6.2492
angles (deg): 90.00 90.00 90.00
Closest atoms and distances in Å follow each position.
Space group F-43m (No. 216)
Asymmetric unit:
1 Mg 0.0000 0.0000 0.0000 [4 per cell]  4 W 2.71, 4 Rh 2.71
2 Rh 0.0000 0.0000 0.5000 [4 per cell]  4 Rh 2.71, 4 W 2.71
3 Rh 0.2500 0.2500 0.7500 [4 per cell]  4 Mg 2.71, 4 Rh 2.71
4 W 0.2500 0.2500 0.2500 [4 per cell]  4 Rh 2.71, 4 Mg 2.71

**Energy of formation**: 0.25 eV/atom
**DOS(E_F)**: 1.850 states/eV per atom



# 20
The following is a DFT calculation (PBE) of a relaxed structure of MgRhW2.

a b c (Å): 3.7465 3.7465 4.5205
angles (deg): 90.00 90.00 90.00
Closest atoms and distances in Å follow each position.
Space group P4/mmm (No. 123)
Asymmetric unit:
1 Mg 0.0000 0.0000 0.0000 [1 per cell]  4 Rh 2.65, 8 W 2.94
2 Rh 0.5000 0.5000 0.0000 [1 per cell]  4 Mg 2.65, 8 W 2.94
3 W 0.0000 0.5000 0.5000 [2 per cell]  4 W 2.65, 4 Mg 2.94, 4 Rh 2.94

**Energy of formation**: 0.21 eV/atom
**DOS(E_F)**: 1.131 states/eV per atom



| no. | energy (eV/atom) | calculated volume (Å³/cell) |
| --- | --- | --- |
| 1 | -6.3835 | 276.5 |
| 2 | -5.6316 | 169.0 |
| 3 | -4.5176 | 294.8 |
| 4 | -6.4414 | 263.4 |
| 5 | -6.2529 | 91.0 |
| 6 | -6.8120 | 91.5 |
| 7 | -2.9930 | 119.3 |
| 8 | -3.8203 | 114.9 |
| 9 | -6.6169 | 2811.5 |
| 10 | -5.9031 | 118.5 |
| 11 | -7.8754 | 140.8 |
| 12 | -5.1399 | 114.8 |
| 13 | -5.0428 | 234.0 |
| 14 | -6.6012 | 192.0 |
| 15 | -5.7010 | 131.7 |
| 16 | -5.7215 | 198.0 |
| 17 | -5.5772 | 131.9 |
| 18 | -8.4578 | 129.6 |
| 19 | -7.0583 | 244.1 |
| 20 | -8.5031 | 63.4 |